DFT (PBE with a Hubbard U) results for a relaxed Ba3MnV2O8 crystal.

Output
Spin magnetization: 7.0 μB per formula unit
Space group: P-3m1
Calculated total energy: -7.14 eV per atom
Calculated volume: 227.4 Å³ per cell

Cell: 5.881 5.881 7.590 Å, 90.00 90.00 120.00°
Element x y z (fractional)
Ba (0.000, 0.000, 0.000)
Ba (0.333, 0.667, 0.651)
Ba (0.667, 0.333, 0.349)
Mn (0.000, 0.000, 0.500)
V (0.333, 0.667, 0.216)
V (0.667, 0.333, 0.784)
O (0.169, 0.337, 0.317)
O (0.169, 0.831, 0.317)
O (0.333, 0.667, 0.983)
O (0.337, 0.169, 0.683)
O (0.663, 0.831, 0.317)
O (0.667, 0.333, 0.017)
O (0.831, 0.169, 0.683)
O (0.831, 0.663, 0.683)